# 1
## Rb3In2Cl9 (PBE)

Data for a relaxed structure of Rb3In2Cl9.

Computed properties:
ρ, g/cm³: 2.990
Energy relative to the elements, uncorrected, eV per formula unit: -21.21
Magnetization, μB per atom: 0.000
E_tot, eV/atom: -3.300

Cell: 7.3748 7.3748 18.9838 Å, 90.00 90.00 120.00°
Space group P6_3/mmc (No. 194)
Inequivalent atoms, fractional coordinates:
Rb1 0.0000 0.0000 0.2500 [2 per cell]
Rb2 0.3333 0.6667 0.0642 [4 per cell]
In1 0.3333 0.6667 0.6556 [4 per cell]
Cl1 0.0237 0.5118 0.7500 [6 per cell]
Cl2 0.1678 0.3355 0.5894 [12 per cell]



# 2
## RbEuHg (PBE)

Data for a relaxed structure of RbEuHg.

Computed properties:
ρ, g/cm³: 5.476
Magnetization, μB per atom: 2.563
E_tot, eV/atom: -4.022

Cell: 4.144 4.144 15.472 Å, 90.00 90.00 90.00°
Space group I4mm (No. 107)
Inequivalent atoms, fractional coordinates:
Rb1 0.000 0.000 0.000 [2 per cell]
Eu1 0.000 0.000 0.264 [2 per cell]
Hg1 0.000 0.000 0.667 [2 per cell]



# 3
## Al3RhF (PBE)

Data for a relaxed structure of Al3RhF.

Computed properties:
ρ, g/cm³: 3.282
Energy relative to the elements, uncorrected, eV per formula unit: -3.44
Magnetization, μB per atom: 0.000
E_tot, eV/atom: -4.778

Cell: 4.682 4.682 4.682 Å, 90.00 90.00 90.00°
Space group Pm-3m (No. 221)
Inequivalent atoms, fractional coordinates:
Al1 0.000 0.000 0.500 [3 per cell]
Rh1 0.000 0.000 0.000 [1 per cell]
F1 0.500 0.500 0.500 [1 per cell]



# 4
## LiLa2N (PBE)

Data for a relaxed structure of LiLa2N.

Computed properties:
ρ, g/cm³: 4.447
Energy relative to the elements, uncorrected, eV per formula unit: -2.28
Magnetization, μB per atom: 0.000
E_tot, eV/atom: -5.594

Cell: 3.6151 3.6151 29.5698 Å, 90.00 90.00 120.00°
Space group R-3m (No. 166, hexagonal axes)
Inequivalent atoms, fractional coordinates:
Li1 0.0000 0.0000 0.0000 [3 per cell]
La1 0.0000 0.0000 0.1187 [6 per cell]
N1 0.0000 0.0000 0.5000 [3 per cell]